1.
The following is a PBE calculation of a relaxed TiGaSN2 crystal, from the Alexandria database.

The structure in POSCAR format:
```
TiGaSN2
1.0
3.835 0.000 0.000
0.000 3.835 0.000
0.000 0.000 5.264
Ti Ga S N
1 1 1 2
direct
0.000 0.000 0.000 Ti
0.500 0.500 0.500 Ga
0.000 0.000 0.500 S
0.000 0.500 0.000 N
0.500 0.000 0.000 N
```

uncorrected formation energy: 0.1613 eV/atom
polymorph energy (0 for the lowest one): 0 meV/atom
calculated total energy: -6.1787 eV per atom

---

2.
The following is a PBE calculation of a relaxed TiGaSN2 crystal, from the Alexandria database.

The structure in POSCAR format:
```
TiGaSN2
1.0
3.767 0.000 0.000
0.000 3.767 0.000
0.000 0.000 4.934
Ti Ga S N
1 1 1 2
direct
0.000 0.000 0.000 Ti
0.500 0.500 0.500 Ga
0.500 0.500 0.000 S
0.000 0.500 0.500 N
0.500 0.000 0.500 N
```

uncorrected formation energy: 0.7208 eV/atom
polymorph energy (0 for the lowest one): 559 meV/atom
calculated total energy: -5.6192 eV per atom

---

3.
The following is a PBE calculation of a relaxed TlGa2SN crystal, from the Alexandria database.

The structure in POSCAR format:
```
TlGa2SN
1.0
5.707 0.000 0.000
0.000 5.707 0.000
0.000 0.000 5.163
Tl Ga S N
1 2 1 1
direct
0.000 0.000 0.000 Tl
0.000 0.500 0.000 Ga
0.500 0.000 0.000 Ga
0.000 0.000 0.500 S
0.500 0.500 0.500 N
```

uncorrected formation energy: 1.4464 eV/atom
polymorph energy (0 for the lowest one): 290 meV/atom
calculated total energy: -2.7282 eV per atom

---

4.
The following is a PBE calculation of a relaxed TlGaS2N crystal, from the Alexandria database.

The structure in POSCAR format:
```
TlGaS2N
1.0
5.240 0.000 0.000
0.000 5.240 0.000
0.000 0.000 4.508
Tl Ga S N
1 1 2 1
direct
0.000 0.000 0.000 Tl
0.500 0.500 0.500 Ga
0.000 0.500 0.000 S
0.500 0.000 0.000 S
0.000 0.000 0.500 N
```

uncorrected formation energy: 1.1222 eV/atom
polymorph energy (0 for the lowest one): 576 meV/atom
calculated total energy: -3.2724 eV per atom

---

5.
The following is a PBE calculation of a relaxed TlGaS2N crystal, from the Alexandria database.

The structure in POSCAR format:
```
TlGaS2N
1.0
5.039 0.000 0.000
0.000 5.039 0.000
0.000 0.000 3.739
Tl Ga S N
1 1 2 1
direct
0.000 0.000 0.000 Tl
0.500 0.500 0.500 Ga
0.000 0.500 0.500 S
0.500 0.000 0.500 S
0.500 0.500 0.000 N
```

uncorrected formation energy: 0.5458 eV/atom
polymorph energy (0 for the lowest one): 0 meV/atom
calculated total energy: -3.8488 eV per atom

---

6.
The following is a PBE calculation of a relaxed TlGa2SN crystal, from the Alexandria database.

The structure in POSCAR format:
```
TlGa2SN
1.0
4.888 0.000 0.000
0.000 4.888 0.000
0.000 0.000 6.319
Tl Ga S N
1 2 1 1
direct
0.000 0.000 0.000 Tl
0.000 0.500 0.500 Ga
0.500 0.000 0.500 Ga
0.000 0.000 0.500 S
0.500 0.500 0.000 N
```

uncorrected formation energy: 1.1567 eV/atom
polymorph energy (0 for the lowest one): 0 meV/atom
calculated total energy: -3.0179 eV per atom

---

7.
The following is a PBE calculation of a relaxed Tm8Ga3S3N crystal, from the Alexandria database.

The structure in POSCAR format:
```
Tm8Ga3S3N
1.0
3.736 2.157 7.045
-3.736 2.157 7.045
0.000 -4.314 7.045
Tm Ga S N
8 3 3 1
direct
0.243 0.243 0.243 Tm
0.267 0.721 0.721 Tm
0.279 0.279 0.733 Tm
0.279 0.733 0.279 Tm
0.721 0.267 0.721 Tm
0.721 0.721 0.267 Tm
0.733 0.279 0.279 Tm
0.757 0.757 0.757 Tm
0.000 0.500 0.500 Ga
0.500 0.000 0.500 Ga
0.500 0.500 0.000 Ga
0.000 0.000 0.500 S
0.000 0.500 0.000 S
0.500 0.000 0.000 S
0.500 0.500 0.500 N
```

uncorrected formation energy: -1.1612 eV/atom
calculated total energy: -5.5319 eV per atom

---

8.
The following is a PBE calculation of a relaxed GaWSN2 crystal, from the Alexandria database.

The structure in POSCAR format:
```
GaWSN2
1.0
3.799 0.000 0.000
0.000 3.799 0.000
0.000 0.000 4.747
Ga W S N
1 1 1 2
direct
0.000 0.000 0.000 Ga
0.500 0.500 0.500 W
0.000 0.000 0.500 S
0.000 0.500 0.000 N
0.500 0.000 0.000 N
```

uncorrected formation energy: 1.5514 eV/atom
polymorph energy (0 for the lowest one): 1351 meV/atom
calculated total energy: -5.8003 eV per atom

---

9.
The following is a PBE calculation of a relaxed GaWS2N crystal, from the Alexandria database.

The structure in POSCAR format:
```
GaWS2N
1.0
4.847 0.000 0.000
0.000 4.847 0.000
0.000 0.000 3.849
Ga W S N
1 1 2 1
direct
0.000 0.000 0.000 Ga
0.500 0.500 0.500 W
0.000 0.500 0.500 S
0.500 0.000 0.500 S
0.500 0.500 0.000 N
```

uncorrected formation energy: -0.0002 eV/atom
polymorph energy (0 for the lowest one): 0 meV/atom
calculated total energy: -6.5123 eV per atom

---

10.
The following is a PBE calculation of a relaxed GaWS2N crystal, from the Alexandria database.

The structure in POSCAR format:
```
GaWS2N
1.0
4.793 0.000 0.000
0.000 4.793 0.000
0.000 0.000 3.573
Ga W S N
1 1 2 1
direct
0.000 0.000 0.000 Ga
0.500 0.500 0.500 W
0.000 0.500 0.000 S
0.500 0.000 0.000 S
0.000 0.000 0.500 N
```

uncorrected formation energy: 1.2043 eV/atom
polymorph energy (0 for the lowest one): 1205 meV/atom
calculated total energy: -5.3078 eV per atom

---

11.
The following is a PBE calculation of a relaxed GaW2SN crystal, from the Alexandria database.

The structure in POSCAR format:
```
GaW2SN
1.0
4.038 0.000 0.000
0.000 4.038 0.000
0.000 0.000 4.646
Ga W S N
1 2 1 1
direct
0.000 0.000 0.000 Ga
0.000 0.500 0.500 W
0.500 0.000 0.500 W
0.500 0.500 0.000 S
0.500 0.500 0.500 N
```

uncorrected formation energy: 0.7678 eV/atom
calculated total energy: -7.5094 eV per atom

---

12.
The following is a PBE calculation of a relaxed GaWSN2 crystal, from the Alexandria database.

The structure in POSCAR format:
```
GaWSN2
1.0
3.921 0.000 0.000
0.000 3.921 0.000
0.000 0.000 5.000
Ga W S N
1 1 1 2
direct
0.000 0.000 0.000 Ga
0.500 0.500 0.500 W
0.500 0.500 0.000 S
0.000 0.500 0.500 N
0.500 0.000 0.500 N
```

uncorrected formation energy: 0.2004 eV/atom
polymorph energy (0 for the lowest one): 0 meV/atom
calculated total energy: -7.1512 eV per atom